(P)
Here is a relaxed Pm2Nd2Sb3 crystal from the Alexandria database. Energies are from PBE-GGA.

SG	No. 12

Unit cell a=14.5918 b=4.4799 c=7.6131 alpha=90.00 beta=99.55 gamma=90.00
Positions (direct):
Pm  0.1230  0.0000  0.3787
Pm  0.3770  0.5000  0.6213
Pm  0.6230  0.5000  0.3787
Pm  0.8770  0.0000  0.6213
Nd  0.1241  0.5000  0.8701
Nd  0.3759  0.0000  0.1299
Nd  0.6241  0.0000  0.8701
Nd  0.8759  0.5000  0.1299
Sb  0.0000  0.0000  0.0000
Sb  0.2449  0.5000  0.2529
Sb  0.2551  0.0000  0.7471
Sb  0.5000  0.5000  0.0000
Sb  0.7449  0.0000  0.2529
Sb  0.7551  0.5000  0.7471

(Q)
Here is a relaxed Pm2Nd2Sb3 crystal from the Alexandria database. Energies are from PBE-GGA.

SG	No. 199

Unit cell a=8.2091 b=8.2091 c=8.2091 alpha=109.47 beta=109.47 gamma=109.47
Positions (direct):
Pm  0.0000  0.6405  0.5000
Pm  0.5000  0.0000  0.6405
Pm  0.6405  0.5000  0.0000
Pm  0.8595  0.8595  0.8595
Nd  0.0000  0.1425  0.5000
Nd  0.1425  0.5000  0.0000
Nd  0.3575  0.3575  0.3575
Nd  0.5000  0.0000  0.1425
Sb  0.1234  0.8734  0.2500
Sb  0.2500  0.1234  0.8734
Sb  0.3766  0.6266  0.7500
Sb  0.6266  0.7500  0.3766
Sb  0.7500  0.3766  0.6266
Sb  0.8734  0.2500  0.1234

Which structure is the most stable? The one labeled (Q).

(P)
Here is a relaxed PmNd3Sb2 crystal from the Alexandria database. Energies are from PBE-GGA.

SG	No. 115

Unit cell a=4.5948 b=4.5948 c=8.8589 alpha=90.00 beta=90.00 gamma=90.00
Positions (direct):
Pm  0.0000  0.0000  0.0000
Nd  0.0000  0.5000  0.3556
Nd  0.5000  0.0000  0.6444
Nd  0.5000  0.5000  0.0000
Sb  0.0000  0.5000  0.7217
Sb  0.5000  0.0000  0.2783

(Q)
Here is a relaxed PmNd3Sb2 crystal from the Alexandria database. Energies are from PBE-GGA.

SG	No. 72

Unit cell a=9.1163 b=9.1163 c=9.1163 alpha=133.03 beta=71.93 gamma=128.88
Positions (direct):
Pm  0.0000  0.0000  0.0000
Pm  0.5000  0.5000  0.0000
Nd  0.0422  0.2500  0.7922
Nd  0.2500  0.7500  0.5000
Nd  0.4578  0.2500  0.2078
Nd  0.5422  0.7500  0.7922
Nd  0.7500  0.2500  0.5000
Nd  0.9578  0.7500  0.2078
Sb  0.1464  0.6754  0.8218
Sb  0.3536  0.1754  0.5290
Sb  0.6464  0.8246  0.4710
Sb  0.8536  0.3246  0.1782

Which structure is the most stable? The one labeled (P).

(P)
Here is a relaxed Pm3NdSb3 crystal from the Alexandria database. Energies are from PBE-GGA.

SG	No. 148

Unit cell a=8.2551 b=8.2551 c=8.2551 alpha=68.39 beta=68.39 gamma=68.39
Positions (direct):
Pm  0.0915  0.8169  0.3522
Pm  0.1831  0.6478  0.9085
Pm  0.3522  0.0915  0.8169
Pm  0.6478  0.9085  0.1831
Pm  0.8169  0.3522  0.0915
Pm  0.9085  0.1831  0.6478
Nd  0.3335  0.3335  0.3335
Nd  0.6665  0.6665  0.6665
Sb  0.0750  0.4630  0.7014
Sb  0.2986  0.9250  0.5370
Sb  0.4630  0.7014  0.0750
Sb  0.5370  0.2986  0.9250
Sb  0.7014  0.0750  0.4630
Sb  0.9250  0.5370  0.2986

(Q)
Here is a relaxed Pm3NdSb3 crystal from the Alexandria database. Energies are from PBE-GGA.

SG	No. 198

Unit cell a=9.4635 b=9.4635 c=9.4635 alpha=90.00 beta=90.00 gamma=90.00
Positions (direct):
Pm  0.0711  0.4289  0.5711
Pm  0.1796  0.1796  0.1796
Pm  0.1799  0.8201  0.3201
Pm  0.3201  0.1799  0.8201
Pm  0.3204  0.8204  0.6796
Pm  0.4289  0.5711  0.0711
Pm  0.5711  0.0711  0.4289
Pm  0.6796  0.3204  0.8204
Pm  0.6799  0.6799  0.6799
Pm  0.8201  0.3201  0.1799
Pm  0.8204  0.6796  0.3204
Pm  0.9289  0.9289  0.9289
Nd  0.0704  0.5704  0.9296
Nd  0.4296  0.4296  0.4296
Nd  0.5704  0.9296  0.0704
Nd  0.9296  0.0704  0.5704
Sb  0.9997  0.2489  0.8758
Sb  0.0003  0.7489  0.6242
Sb  0.1242  0.4997  0.2511
Sb  0.2489  0.8758  0.9997
Sb  0.2511  0.1242  0.4997
Sb  0.3758  0.5003  0.7511
Sb  0.4997  0.2511  0.1242
Sb  0.5003  0.7511  0.3758
Sb  0.6242  0.0003  0.7489
Sb  0.7489  0.6242  0.0003
Sb  0.7511  0.3758  0.5003
Sb  0.8758  0.9997  0.2489

Which structure is the most stable? The one labeled (Q).

(P)
Here is a relaxed Pm3NdSb4 crystal from the Alexandria database. Energies are from PBE-GGA.

SG	No. 221

Unit cell a=6.3609 b=6.3609 c=6.3609 alpha=90.00 beta=90.00 gamma=90.00
Positions (direct):
Pm  0.0000  0.0000  0.5000
Pm  0.0000  0.5000  0.0000
Pm  0.5000  0.0000  0.0000
Nd  0.5000  0.5000  0.5000
Sb  0.0000  0.0000  0.0000
Sb  0.0000  0.5000  0.5000
Sb  0.5000  0.0000  0.5000
Sb  0.5000  0.5000  0.0000

(Q)
Here is a relaxed Pm3NdSb4 crystal from the Alexandria database. Energies are from PBE-GGA.

SG	No. 65

Unit cell a=8.9992 b=12.7275 c=4.5031 alpha=90.00 beta=90.00 gamma=90.00
Positions (direct):
Pm  0.0000  0.0000  0.0000
Pm  0.2500  0.2500  0.5000
Pm  0.2500  0.7500  0.5000
Pm  0.5000  0.5000  0.0000
Pm  0.7500  0.2500  0.5000
Pm  0.7500  0.7500  0.5000
Nd  0.0000  0.5000  0.0000
Nd  0.5000  0.0000  0.0000
Sb  0.0000  0.2494  0.0000
Sb  0.0000  0.7506  0.0000
Sb  0.2487  0.0000  0.5000
Sb  0.2513  0.5000  0.5000
Sb  0.5000  0.2506  0.0000
Sb  0.5000  0.7494  0.0000
Sb  0.7487  0.5000  0.5000
Sb  0.7513  0.0000  0.5000

Which structure is the most stable? The one labeled (P).

(P)
Here is a relaxed PmNdSbTe crystal from the Alexandria database. Energies are from PBE-GGA.

SG	No. 160

Unit cell a=4.4938 b=4.4938 c=22.1325 alpha=90.00 beta=90.00 gamma=120.00
Positions (direct):
Pm  0.0000  0.0000  0.0000
Pm  0.3333  0.6667  0.6667
Pm  0.6667  0.3333  0.3333
Nd  0.0000  0.0000  0.4931
Nd  0.3333  0.6667  0.1598
Nd  0.6667  0.3333  0.8264
Sb  0.0000  0.0000  0.7458
Sb  0.3333  0.6667  0.4125
Sb  0.6667  0.3333  0.0792
Te  0.0000  0.0000  0.2473
Te  0.3333  0.6667  0.9140
Te  0.6667  0.3333  0.5806

(Q)
Here is a relaxed PmNdSbTe crystal from the Alexandria database. Energies are from PBE-GGA.

SG	No. 216

Unit cell a=7.7721 b=7.7721 c=7.7721 alpha=90.00 beta=90.00 gamma=90.00
Positions (direct):
Pm  0.0000  0.0000  0.0000
Pm  0.0000  0.5000  0.5000
Pm  0.5000  0.0000  0.5000
Pm  0.5000  0.5000  0.0000
Nd  0.0000  0.0000  0.5000
Nd  0.0000  0.5000  0.0000
Nd  0.5000  0.0000  0.0000
Nd  0.5000  0.5000  0.5000
Sb  0.2500  0.2500  0.7500
Sb  0.2500  0.7500  0.2500
Sb  0.7500  0.2500  0.2500
Sb  0.7500  0.7500  0.7500
Te  0.2500  0.2500  0.2500
Te  0.2500  0.7500  0.7500
Te  0.7500  0.2500  0.7500
Te  0.7500  0.7500  0.2500

Which structure is the most stable? The one labeled (P).

(P)
Here is a relaxed PmNd3Sc crystal from the Alexandria database. Energies are from PBE-GGA.

SG	No. 15

Unit cell a=11.2308 b=11.2308 c=6.6704 alpha=93.61 beta=93.61 gamma=52.41
Positions (direct):
Pm  0.0983  0.9017  0.7500
Pm  0.2487  0.7513  0.2500
Pm  0.7513  0.2487  0.7500
Pm  0.9017  0.0983  0.2500
Nd  0.0451  0.2572  0.5818
Nd  0.0853  0.5866  0.9278
Nd  0.2572  0.0451  0.0818
Nd  0.3635  0.4844  0.6076
Nd  0.4134  0.9147  0.5722
Nd  0.4844  0.3635  0.1076
Nd  0.5156  0.6365  0.8924
Nd  0.5866  0.0853  0.4278
Nd  0.6365  0.5156  0.3924
Nd  0.7428  0.9549  0.9182
Nd  0.9147  0.4134  0.0722
Nd  0.9549  0.7428  0.4182
Sc  0.2228  0.3456  0.3175
Sc  0.3456  0.2228  0.8175
Sc  0.6544  0.7772  0.1825
Sc  0.7772  0.6544  0.6825

(Q)
Here is a relaxed PmNd3Sc crystal from the Alexandria database. Energies are from PBE-GGA.

SG	No. 2

Unit cell a=3.6191 b=6.2199 c=14.6725 alpha=86.12 beta=82.92 gamma=89.99
Positions (direct):
Pm  0.1509  0.0571  0.1966
Pm  0.8491  0.9429  0.8034
Nd  0.0550  0.6828  0.3882
Nd  0.2453  0.7414  0.0079
Nd  0.4502  0.8112  0.6005
Nd  0.5498  0.1888  0.3995
Nd  0.7547  0.2586  0.9921
Nd  0.9450  0.3172  0.6118
Sc  0.3500  0.4538  0.8025
Sc  0.6500  0.5462  0.1975

Which structure is the most stable? The one labeled (Q).

(P)
Here is a relaxed PmNd4Sc2 crystal from the Alexandria database. Energies are from PBE-GGA.

SG	No. 11

Unit cell a=8.7247 b=6.5121 c=8.9861 alpha=90.00 beta=117.72 gamma=90.00
Positions (direct):
Pm  0.2489  0.2500  0.2642
Pm  0.7511  0.7500  0.7358
Nd  0.0052  0.7500  0.5646
Nd  0.0581  0.2500  0.8343
Nd  0.4107  0.0061  0.7706
Nd  0.4107  0.4939  0.7706
Nd  0.5893  0.5061  0.2294
Nd  0.5893  0.9939  0.2294
Nd  0.9419  0.7500  0.1657
Nd  0.9948  0.2500  0.4354
Sc  0.2012  0.7500  0.9990
Sc  0.3628  0.7500  0.4175
Sc  0.6372  0.2500  0.5825
Sc  0.7988  0.2500  0.0010

(Q)
Here is a relaxed PmNd4Sc2 crystal from the Alexandria database. Energies are from PBE-GGA.

SG	No. 15

Unit cell a=7.9934 b=7.9934 c=16.6938 alpha=90.72 beta=90.72 gamma=154.37
Positions (direct):
Pm  0.1934  0.8066  0.7500
Pm  0.8066  0.1934  0.2500
Nd  0.0783  0.1843  0.4196
Nd  0.1843  0.0783  0.9196
Nd  0.2573  0.6134  0.9245
Nd  0.3866  0.7427  0.5755
Nd  0.6134  0.2573  0.4245
Nd  0.7427  0.3866  0.0755
Nd  0.8157  0.9217  0.0804
Nd  0.9217  0.8157  0.5804
Sc  0.1323  0.8677  0.2500
Sc  0.4810  0.5190  0.2500
Sc  0.5190  0.4810  0.7500
Sc  0.8677  0.1323  0.7500

Which structure is the most stable? The one labeled (P).

(P)
Here is a relaxed Pm4Nd3Sc crystal from the Alexandria database. Energies are from PBE-GGA.

SG	No. 71

Unit cell a=3.5244 b=11.7549 c=13.0514 alpha=90.00 beta=90.00 gamma=90.00
Positions (direct):
Pm  0.0000  0.2439  0.1323
Pm  0.0000  0.2439  0.8677
Pm  0.0000  0.7561  0.1323
Pm  0.0000  0.7561  0.8677
Pm  0.5000  0.2561  0.3677
Pm  0.5000  0.2561  0.6323
Pm  0.5000  0.7439  0.3677
Pm  0.5000  0.7439  0.6323
Nd  0.0000  0.0000  0.5000
Nd  0.0000  0.5000  0.2623
Nd  0.0000  0.5000  0.7377
Nd  0.5000  0.0000  0.2377
Nd  0.5000  0.0000  0.7623
Nd  0.5000  0.5000  0.0000
Sc  0.0000  0.0000  0.0000
Sc  0.5000  0.5000  0.5000

(Q)
Here is a relaxed Pm4Nd3Sc crystal from the Alexandria database. Energies are from PBE-GGA.

SG	No. 31

Unit cell a=11.6547 b=7.3272 c=6.3198 alpha=90.00 beta=90.00 gamma=90.00
Positions (direct):
Pm  0.0000  0.1265  0.0000
Pm  0.0000  0.8720  0.4897
Pm  0.2433  0.8718  0.8333
Pm  0.2567  0.1282  0.3333
Pm  0.5000  0.1280  0.9897
Pm  0.5000  0.8735  0.5000
Pm  0.7433  0.1282  0.3333
Pm  0.7567  0.8718  0.8333
Nd  0.0000  0.3758  0.4943
Nd  0.2490  0.3787  0.8251
Nd  0.2510  0.6213  0.3251
Nd  0.5000  0.6242  0.9943
Nd  0.7490  0.6213  0.3251
Nd  0.7510  0.3787  0.8251
Sc  0.0000  0.6237  0.9920
Sc  0.5000  0.3763  0.4920

Which structure is the most stable? The one labeled (Q).